(1)
## PrHoGaN3 (GGA-PBE)

Data for a relaxed PrHoGaN3 crystal.

```
PrHoGaN3
1.0
7.3282 0.0000 0.0000
0.0000 3.4606 0.0000
-1.0542 0.0000 7.5707
Pr Ho Ga N
2 2 2 6
Direct
0.1773 0.2500 0.1875
0.8227 0.7500 0.8125
0.3603 0.7500 0.8467
0.6397 0.2500 0.1533
0.1057 0.2500 0.6044
0.8943 0.7500 0.3956
0.1313 0.2500 0.8586
0.1680 0.7500 0.4954
0.4059 0.7500 0.1425
0.5941 0.2500 0.8575
0.8320 0.2500 0.5046
0.8687 0.7500 0.1414
```

For the formation energy (no corrections), the calculation gives -0.96 eV per atom.


(2)
## Ho2ScGaN (GGA-PBE)

Data for a relaxed Ho2ScGaN crystal.

```
Ho2ScGaN
1.0
4.7189 0.0000 0.0000
0.0000 4.7189 0.0000
0.0000 0.0000 4.4198
Ho Sc Ga N
2 1 1 1
Direct
0.0000 0.5000 0.0000
0.5000 0.0000 0.0000
0.0000 0.0000 0.5000
0.5000 0.5000 0.5000
0.0000 0.0000 0.0000
```

The calculation puts the density of states at the Fermi level at 0.492 states/eV per atom. For the formation energy (no corrections), the calculation gives -1.04 eV per atom.


(3)
## SmHo2GaN (GGA-PBE)

Data for a relaxed SmHo2GaN crystal.

```
SmHo2GaN
1.0
4.7286 0.0000 0.0000
0.0000 4.7286 0.0000
0.0000 0.0000 4.8865
Sm Ho Ga N
1 2 1 1
Direct
0.0000 0.0000 0.0000
0.0000 0.5000 0.5000
0.5000 0.0000 0.5000
0.5000 0.5000 0.0000
0.0000 0.0000 0.5000
```

The calculation puts the density of states at the Fermi level at 0.469 states/eV per atom. For the formation energy (no corrections), the calculation gives -0.94 eV per atom.


(4)
## Ho4TlGaN (GGA-PBE)

Data for a relaxed Ho4TlGaN crystal.

```
Ho4TlGaN
1.0
3.3106 -7.6867 0.0000
3.3106 7.6867 0.0000
0.0000 0.0000 6.6272
Ho Tl Ga N
8 2 2 2
Direct
0.0000 0.5000 0.0000
0.0000 0.5000 0.5000
0.0798 0.9202 0.7500
0.4125 0.5875 0.7500
0.5000 0.0000 0.0000
0.5000 0.0000 0.5000
0.5875 0.4125 0.2500
0.9202 0.0798 0.2500
0.3893 0.6107 0.2500
0.6107 0.3893 0.7500
0.1181 0.8819 0.2500
0.8819 0.1181 0.7500
0.2506 0.7494 0.7500
0.7494 0.2506 0.2500
```

The calculation puts the density of states at the Fermi level at 0.675 states/eV per atom. For the formation energy (no corrections), the calculation gives -0.74 eV per atom.


(5)
## Ho2TmGaN (GGA-PBE)

Data for a relaxed Ho2TmGaN crystal.

```
Ho2TmGaN
1.0
4.7194 0.0000 0.0000
0.0000 4.7194 0.0000
0.0000 0.0000 4.6639
Ho Tm Ga N
2 1 1 1
Direct
0.0000 0.5000 0.0000
0.5000 0.0000 0.0000
0.0000 0.0000 0.5000
0.5000 0.5000 0.5000
0.0000 0.0000 0.0000
```

The calculation puts the density of states at the Fermi level at 0.465 states/eV per atom. For the formation energy (no corrections), the calculation gives -1.00 eV per atom.


(6)
## YHo2GaN (GGA-PBE)

Data for a relaxed YHo2GaN crystal.

```
YHo2GaN
1.0
4.7231 0.0000 0.0000
0.0000 4.7231 0.0000
0.0000 0.0000 4.7571
Y Ho Ga N
1 2 1 1
Direct
0.0000 0.0000 0.0000
0.0000 0.5000 0.5000
0.5000 0.0000 0.5000
0.5000 0.5000 0.0000
0.0000 0.0000 0.5000
```

The calculation puts the density of states at the Fermi level at 0.478 states/eV per atom. For the formation energy (no corrections), the calculation gives -0.99 eV per atom.